Record 1
PrLuPdRu after structural relaxation, computed with PBE-GGA.

DFT formation energy ... -2.1 eV per formula unit
Space-group type ... No. 216
E ... -6.48 eV/atom
Density of states at the Fermi level ... 2.45 states/eV/f.u.

Geometry as extended XYZ:
```
4
Lattice="0.0000 3.4898 3.4898 3.4898 0.0000 3.4898 3.4898 3.4898 0.0000" Properties=species:S:1:pos:R:3 pbc="T T T"
Pr 0.0000 0.0000 0.0000
Lu 3.4898 3.4898 3.4898
Pd 5.2347 5.2347 5.2347
Ru 1.7449 1.7449 1.7449
```

Record 2
DyRuPb2O6 after structural relaxation, computed with PBE-GGA.

Space-group type ... No. 14
E ... -6.75 eV/atom
Uncorrected formation energy ... -1.64 eV/atom
Density of states at the Fermi level ... 2.48 states/eV/f.u.

Geometry as extended XYZ:
```
20
Lattice="5.8539 0.0000 0.0000 0.0000 5.8818 0.0000 -5.8085 0.0000 8.2835" Properties=species:S:1:pos:R:3 pbc="T T T"
Dy 0.0000 0.0000 0.0000
Dy -2.9042 2.9409 4.1417
Ru 0.0227 0.0000 4.1417
Ru 2.9269 2.9409 0.0000
Pb -2.8446 0.1756 6.2270
Pb 0.0597 2.7653 2.0853
Pb -0.0143 3.1165 6.1982
Pb 2.8900 5.7063 2.0564
O -0.4434 0.0987 2.2141
O -3.3477 2.8422 6.3559
O 1.3591 4.1134 0.3466
O -1.5452 4.7094 4.4884
O 1.7913 1.3418 0.3374
O -1.1129 1.5991 4.4791
O 1.1583 4.2827 3.8044
O -1.7459 4.5400 7.9461
O 1.5906 1.1725 3.7951
O -1.3137 1.7685 7.9368
O 3.3931 3.0397 1.9276
O 0.4888 5.7831 6.0693
```

Record 3
Sc2MnMo after structural relaxation, computed with PBE-GGA.

DFT formation energy ... 1.3 eV per formula unit
Space-group type ... No. 166
E ... -7.83 eV/atom
Offset from the most stable computed form ... 312 meV/atom
Density of states at the Fermi level ... 4.56 states/eV/f.u.

Geometry as extended XYZ:
```
4
Lattice="1.4960 0.8637 9.3118 -1.4960 0.8637 9.3118 0.0000 -1.7274 9.3118" Properties=species:S:1:pos:R:3 pbc="T T T"
Sc 0.0000 0.0000 6.9131
Sc 0.0000 0.0000 21.0222
Mn 0.0000 0.0000 13.9676
Mo 0.0000 0.0000 0.0000
```

Record 4
SiHg3Se after structural relaxation, computed with PBE-GGA.

Space-group type ... No. 221
E ... -1.17 eV/atom
Uncorrected formation energy ... 0.79 eV/atom
Offset from the most stable computed form ... 464 meV/atom
Density of states at the Fermi level ... 4.82 states/eV/f.u.

Geometry as extended XYZ:
```
5
Lattice="5.4579 0.0000 0.0000 0.0000 5.4579 0.0000 0.0000 0.0000 5.4579" Properties=species:S:1:pos:R:3 pbc="T T T"
Si 0.0000 0.0000 0.0000
Hg 0.0000 2.7290 2.7290
Hg 2.7290 0.0000 2.7290
Hg 2.7290 2.7290 0.0000
Se 2.7290 2.7290 2.7290
```

Record 5
CsCd10Pb after structural relaxation, computed with PBE-GGA.

DFT formation energy ... 0.3 eV per formula unit
Space-group type ... No. 47
E ... -1.12 eV/atom
Density of states at the Fermi level ... 4.06 states/eV/f.u.

Geometry as extended XYZ:
```
12
Lattice="4.7620 0.0000 0.0000 0.0000 6.5763 0.0000 0.0000 0.0000 10.7275" Properties=species:S:1:pos:R:3 pbc="T T T"
Cs 0.0000 0.0000 0.0000
Cd 0.0000 0.0000 3.7068
Cd 0.0000 0.0000 7.0207
Cd 0.0000 3.2882 1.9227
Cd 0.0000 3.2882 8.8048
Cd 2.3810 0.0000 5.3638
Cd 2.3810 1.7448 2.8847
Cd 2.3810 1.7448 7.8428
Cd 2.3810 3.2882 0.0000
Cd 2.3810 4.8316 2.8847
Cd 2.3810 4.8316 7.8428
Pb 0.0000 3.2882 5.3638
```

Record 6
YSi after structural relaxation, computed with PBE-GGA.

Space-group type ... No. 123
E ... -6.43 eV/atom
Uncorrected formation energy ... -0.48 eV/atom
Density of states at the Fermi level ... 1.02 states/eV/f.u.

Geometry as extended XYZ:
```
2
Lattice="3.2661 0.0000 0.0000 0.0000 3.2661 0.0000 0.0000 0.0000 4.0254" Properties=species:S:1:pos:R:3 pbc="T T T"
Y 0.0000 0.0000 0.0000
Si 1.6331 1.6331 2.0127
```

Record 7
ThScRuAu after structural relaxation, computed with PBE-GGA.

DFT formation energy ... -2.0 eV per formula unit
Space-group type ... No. 216
E ... -7.07 eV/atom
Density of states at the Fermi level ... 3.88 states/eV/f.u.

Geometry as extended XYZ:
```
4
Lattice="0.0000 3.5019 3.5019 3.5019 0.0000 3.5019 3.5019 3.5019 0.0000" Properties=species:S:1:pos:R:3 pbc="T T T"
Th 0.0000 0.0000 0.0000
Sc 3.5019 3.5019 3.5019
Ru 1.7509 1.7509 1.7509
Au 5.2528 5.2528 5.2528
```

Record 8
PmEr3Te after structural relaxation, computed with PBE-GGA.

Space-group type ... No. 12
E ... -4.62 eV/atom
Uncorrected formation energy ... -0.31 eV/atom
Density of states at the Fermi level ... 6.32 states/eV/f.u.

Geometry as extended XYZ:
```
10
Lattice="5.7654 -4.6087 0.0000 5.7654 4.6087 0.0000 -4.5747 0.0000 6.1755" Properties=species:S:1:pos:R:3 pbc="T T T"
Pm -0.9070 0.0000 2.2454
Pm 7.8632 0.0000 3.9301
Er 1.7603 1.7132 1.3151
Er 1.7603 -1.7132 1.3151
Er 1.9972 0.0000 4.2080
Er 4.9590 0.0000 1.9675
Er 5.1958 1.7132 4.8604
Er 5.1958 -1.7132 4.8604
Te -0.9791 0.0000 5.4978
Te 7.9352 0.0000 0.6777
```

Record 9
Al2CuSb2 after structural relaxation, computed with PBE-GGA.

Space-group type ... No. 127
E ... -3.74 eV/atom
Uncorrected formation energy ... 0.23 eV/atom
Density of states at the Fermi level ... 2.02 states/eV/f.u.

Geometry as extended XYZ:
```
10
Lattice="6.8420 0.0000 0.0000 0.0000 6.8420 0.0000 0.0000 0.0000 4.4474" Properties=species:S:1:pos:R:3 pbc="T T T"
Al 0.9357 2.4853 0.0000
Al 2.4853 5.9063 0.0000
Al 4.3567 0.9357 0.0000
Al 5.9063 4.3567 0.0000
Cu 0.0000 0.0000 0.0000
Cu 3.4210 3.4210 0.0000
Sb 1.2802 4.7012 2.2237
Sb 2.1408 1.2802 2.2237
Sb 4.7012 5.5618 2.2237
Sb 5.5618 2.1408 2.2237
```

Record 10
BaCaSi3 after structural relaxation, computed with PBE-GGA.

Space-group type ... No. 221
E ... -2.84 eV/atom
Uncorrected formation energy ... 1.19 eV/atom
Offset from the most stable computed form ... 1455 meV/atom
Density of states at the Fermi level ... 6.97 states/eV/f.u.

Geometry as extended XYZ:
```
5
Lattice="5.5830 0.0000 0.0000 0.0000 5.5830 0.0000 0.0000 0.0000 5.5830" Properties=species:S:1:pos:R:3 pbc="T T T"
Ba 0.0000 0.0000 0.0000
Ca 2.7915 2.7915 2.7915
Si 0.0000 0.0000 2.7915
Si 0.0000 2.7915 0.0000
Si 2.7915 0.0000 0.0000
```

Record 11
Sr2CaCl after structural relaxation, computed with PBE-GGA.

Space-group type ... No. 65
E ... -2.58 eV/atom
Uncorrected formation energy ... -0.78 eV/atom
Offset from the most stable computed form ... 39 meV/atom
Density of states at the Fermi level ... 3.89 states/eV/f.u.

Geometry as extended XYZ:
```
4
Lattice="2.1218 -3.4406 0.0000 2.1218 3.4406 0.0000 0.0000 0.0000 11.1750" Properties=species:S:1:pos:R:3 pbc="T T T"
Sr 0.0000 0.0000 2.3180
Sr 0.0000 0.0000 8.8570
Ca 2.1218 0.0000 5.5875
Cl 2.1218 0.0000 0.0000
```

Record 12
HoNpTl2Se4 after structural relaxation, computed with PBE-GGA.

Space-group type ... No. 10
E ... -5.66 eV/atom
Uncorrected formation energy ... -1.13 eV/atom
Density of states at the Fermi level ... 7.57 states/eV/f.u.

Geometry as extended XYZ:
```
8
Lattice="7.2917 0.0000 0.0000 0.0000 4.1974 0.0000 -2.4242 0.0000 7.7596" Properties=species:S:1:pos:R:3 pbc="T T T"
Ho 0.0000 0.0000 0.0000
Np 3.6458 2.0987 0.0000
Tl -1.2121 2.0987 3.8798
Tl 2.4337 0.0000 3.8798
Se 1.1836 2.0987 1.5821
Se -0.0169 0.0000 6.1776
Se 4.8844 0.0000 1.5820
Se 3.6839 2.0987 6.1774
```